ZrTa2PdPb: optimized geometry, PBE-GGA.

Cell lengths 5.105, 5.275, 5.105 Å; angles 90.00, 90.00, 90.00 degrees
Site moments in Bohr magnetons follow the coordinates.
Atoms (fractional coordinates):
Pb 0.000 0.000 0.000  -0.01
Zr 0.000 0.500 0.000  0.08
Pd 0.500 0.500 0.500  0.09
Ta 0.000 0.000 0.500  0.34
Ta 0.500 0.000 0.000  0.41

Values from the calculation:
Magnetic moment = 1.32 μB per formula unit
Uncorrected energy = -6.1729 eV/atom